Arrangement A

The following is a PBE calculation of a relaxed AsBr2NF crystal, from Alexandria via LeMat-Bulk.

Geometry as CIF:
```
data_AsBr2NF
_chemical_formula_sum 'As1 Br2 N1 F1'
_cell_length_a 4.552
_cell_length_b 4.552
_cell_length_c 4.382
_cell_angle_alpha 90.00
_cell_angle_beta 90.00
_cell_angle_gamma 90.00
_space_group_name_H-M_alt 'P 4/m m m'
_space_group_IT_number 123
_space_group_name_Hall '-P 4 2'
loop_
_atom_site_label
_atom_site_type_symbol
_atom_site_fract_x
_atom_site_fract_y
_atom_site_fract_z
As1 As 0.000 0.000 0.000
Br1 Br 0.000 0.500 0.500
N1 N 0.000 0.000 0.500
F1 F 0.500 0.500 0.000
```


Arrangement B

The following is a PBE calculation of a relaxed AsBr2NF crystal, from Alexandria via LeMat-Bulk.

Geometry as CIF:
```
data_AsBr2NF
_chemical_formula_sum 'As1 Br2 N1 F1'
_cell_length_a 5.670
_cell_length_b 5.670
_cell_length_c 3.891
_cell_angle_alpha 90.00
_cell_angle_beta 90.00
_cell_angle_gamma 90.00
_space_group_name_H-M_alt 'P 4/m m m'
_space_group_IT_number 123
_space_group_name_Hall '-P 4 2'
loop_
_atom_site_label
_atom_site_type_symbol
_atom_site_fract_x
_atom_site_fract_y
_atom_site_fract_z
As1 As 0.000 0.000 0.000
Br1 Br 0.000 0.500 0.500
N1 N 0.500 0.500 0.000
F1 F 0.000 0.000 0.500
```


Relative energies, in meV/atom, with the most stable structure set to zero: arrangement A 0; arrangement B 272.


Arrangement A

The following is a PBE calculation of a relaxed NaAs2BrF crystal, from Alexandria via LeMat-Bulk.

Geometry as CIF:
```
data_NaAs2BrF
_chemical_formula_sum 'Na1 As2 Br1 F1'
_cell_length_a 5.134
_cell_length_b 5.134
_cell_length_c 5.093
_cell_angle_alpha 90.00
_cell_angle_beta 90.00
_cell_angle_gamma 90.00
_space_group_name_H-M_alt 'P 4/m m m'
_space_group_IT_number 123
_space_group_name_Hall '-P 4 2'
loop_
_atom_site_label
_atom_site_type_symbol
_atom_site_fract_x
_atom_site_fract_y
_atom_site_fract_z
Na1 Na 0.000 0.000 0.000
As1 As 0.000 0.500 0.000
Br1 Br 0.000 0.000 0.500
F1 F 0.500 0.500 0.500
```


Arrangement B

The following is a PBE calculation of a relaxed NaAs2BrF crystal, from Alexandria via LeMat-Bulk.

Geometry as CIF:
```
data_NaAs2BrF
_chemical_formula_sum 'Na1 As2 Br1 F1'
_cell_length_a 4.320
_cell_length_b 4.320
_cell_length_c 6.885
_cell_angle_alpha 90.00
_cell_angle_beta 90.00
_cell_angle_gamma 90.00
_space_group_name_H-M_alt 'P 4/m m m'
_space_group_IT_number 123
_space_group_name_Hall '-P 4 2'
loop_
_atom_site_label
_atom_site_type_symbol
_atom_site_fract_x
_atom_site_fract_y
_atom_site_fract_z
Na1 Na 0.000 0.000 0.000
As1 As 0.000 0.500 0.500
Br1 Br 0.500 0.500 0.000
F1 F 0.500 0.500 0.500
```


Relative energies, in meV/atom, with the most stable structure set to zero: arrangement A 901; arrangement B 0.


Arrangement A

The following is a PBE calculation of a relaxed NaAsBr2F crystal, from Alexandria via LeMat-Bulk.

Geometry as CIF:
```
data_NaAsBr2F
_chemical_formula_sum 'Na1 As1 Br2 F1'
_cell_length_a 5.249
_cell_length_b 5.249
_cell_length_c 6.180
_cell_angle_alpha 90.00
_cell_angle_beta 90.00
_cell_angle_gamma 90.00
_space_group_name_H-M_alt 'P 4/m m m'
_space_group_IT_number 123
_space_group_name_Hall '-P 4 2'
loop_
_atom_site_label
_atom_site_type_symbol
_atom_site_fract_x
_atom_site_fract_y
_atom_site_fract_z
Na1 Na 0.000 0.000 0.000
As1 As 0.000 0.000 0.500
Br1 Br 0.000 0.500 0.000
F1 F 0.500 0.500 0.500
```


Arrangement B

The following is a PBE calculation of a relaxed NaAsBr2F crystal, from Alexandria via LeMat-Bulk.

Geometry as CIF:
```
data_NaAsBr2F
_chemical_formula_sum 'Na1 As1 Br2 F1'
_cell_length_a 5.787
_cell_length_b 5.787
_cell_length_c 3.892
_cell_angle_alpha 90.00
_cell_angle_beta 90.00
_cell_angle_gamma 90.00
_space_group_name_H-M_alt 'P 4/m m m'
_space_group_IT_number 123
_space_group_name_Hall '-P 4 2'
loop_
_atom_site_label
_atom_site_type_symbol
_atom_site_fract_x
_atom_site_fract_y
_atom_site_fract_z
Na1 Na 0.000 0.000 0.000
As1 As 0.500 0.500 0.000
Br1 Br 0.000 0.500 0.500
F1 F 0.500 0.500 0.500
```


Relative energies, in meV/atom, with the most stable structure set to zero: arrangement A 847; arrangement B 0.